[1]
# NaCdInHg PBE-GGA relaxed
# ρ, Mg/m³: 7.5
# Calculated total energy, eV per atom: -1.44
# Polymorph energy (0 for the lowest one), kcal/mol of atoms: 0.05
# Calculated formation energy, eV/atom: -0.124
data_NaCdInHg
_chemical_formula_sum 'Na4 Cd4 In4 Hg4'
_cell_length_a 7.355
_cell_length_b 7.355
_cell_length_c 7.355
_cell_angle_alpha 90.00
_cell_angle_beta 90.00
_cell_angle_gamma 90.00
_space_group_name_H-M_alt 'F -4 3 m'
_space_group_IT_number 216
_space_group_name_Hall 'F -4 2 3'
loop_
_atom_site_label
_atom_site_fract_x
_atom_site_fract_y
_atom_site_fract_z
_atom_site_occupancy
Na1 0.000 0.000 0.000 1
Cd1 0.250 0.250 0.250 1
In1 0.000 0.000 0.500 1
Hg1 0.250 0.250 0.750 1

***

[2]
# Na2TeCl5 PBE-GGA relaxed
# ρ, Mg/m³: 2.2
# E_form (uncorrected), eV/atom: -1.087
# Calculated total energy, eV per atom: -2.96
# Polymorph energy (0 for the lowest one), kcal/mol of atoms: 1.14
data_Na2TeCl5
_chemical_formula_sum 'Na2 Te1 Cl5'
_cell_length_a 5.520
_cell_length_b 7.325
_cell_length_c 7.458
_cell_angle_alpha 70.42
_cell_angle_beta 69.59
_cell_angle_gamma 75.85
_space_group_name_H-M_alt 'P 1'
_space_group_IT_number 1
loop_
_space_group_symop_operation_xyz
'x,y,z'
loop_
_atom_site_label
_atom_site_fract_x
_atom_site_fract_y
_atom_site_fract_z
_atom_site_occupancy
Na1 0.000 0.000 0.000 1
Na2 0.460 0.608 0.336 1
Te1 0.576 0.999 0.540 1
Cl1 0.222 0.270 0.629 1
Cl2 0.257 0.757 0.713 1
Cl3 0.527 0.924 0.005 1
Cl4 0.825 0.262 0.255 1
Cl5 0.893 0.725 0.382 1

***

[3]
# NaPr3Se4 PBE-GGA relaxed
# ρ, Mg/m³: 5.8
# E_form (uncorrected), eV/atom: -1.784
# Calculated total energy, eV per atom: -5.48
# Polymorph energy (0 for the lowest one), kcal/mol of atoms: 0.00
data_NaPr3Se4
_chemical_formula_sum 'Na1 Pr3 Se4'
_cell_length_a 6.022
_cell_length_b 6.022
_cell_length_c 6.022
_cell_angle_alpha 90.00
_cell_angle_beta 90.00
_cell_angle_gamma 90.00
_space_group_name_H-M_alt 'P m -3 m'
_space_group_IT_number 221
_space_group_name_Hall '-P 4 2 3'
loop_
_atom_site_label
_atom_site_fract_x
_atom_site_fract_y
_atom_site_fract_z
_atom_site_occupancy
Na1 0.000 0.000 0.000 1
Pr1 0.000 0.500 0.500 1
Se1 0.000 0.000 0.500 1
Se2 0.500 0.500 0.500 1

***

[4]
# Ca4ScTe PBE-GGA relaxed
# ρ, Mg/m³: 2.6
# E_form (uncorrected), eV/atom: 0.177
# Calculated total energy, eV per atom: -2.74
data_Ca4ScTe
_chemical_formula_sum 'Ca16 Sc4 Te4'
_cell_length_a 9.516
_cell_length_b 9.516
_cell_length_c 9.516
_cell_angle_alpha 90.00
_cell_angle_beta 90.00
_cell_angle_gamma 90.00
_space_group_name_H-M_alt 'F -4 3 m'
_space_group_IT_number 216
_space_group_name_Hall 'F -4 2 3'
loop_
_atom_site_label
_atom_site_fract_x
_atom_site_fract_y
_atom_site_fract_z
_atom_site_occupancy
Ca1 0.124 0.124 0.124 1
Sc1 0.250 0.250 0.750 1
Te1 0.000 0.000 0.500 1